No. 1
Here is crystalline Li2CrI4 at its relaxed geometry from Alexandria. Energies are from PBE.

Values from the calculation:
Size of the total moment (μB/atom): 0.571
ΔE_f (raw) (eV/f.u.): -4.328
V (Å³ per atom): 33.94

abc: 5.752 5.752 8.251
angles: 69.60 69.60 90.00
Fractional coordinates of all 7 atoms:
Li1 0.377 0.377 0.245
Li2 0.623 0.623 0.755
I1 0.809 0.809 0.382
I2 0.000 0.500 0.000
I3 0.191 0.191 0.618
I4 0.500 0.000 0.000
Cr1 0.000 0.000 0.000


No. 2
Here is crystalline Li2CrI6 at its relaxed geometry from Alexandria. Energies are from PBE.

Values from the calculation:
Size of the total moment (μB/atom): 0.300
ΔE_f (raw) (eV/f.u.): -5.774
V (Å³ per atom): 36.00

abc: 3.808 9.842 9.288
angles: 107.59 101.83 90.00
Fractional coordinates of all 9 atoms:
I1 0.658 0.561 0.316
I2 0.991 0.192 0.981
I3 0.342 0.439 0.684
I4 0.009 0.808 0.019
I5 0.343 0.890 0.685
I6 0.657 0.110 0.315
Li1 0.178 0.354 0.356
Li2 0.822 0.646 0.644
Cr1 0.500 0.000 0.000


No. 3
Here is crystalline LiCrI3 at its relaxed geometry from Alexandria. Energies are from PBE.

Values from the calculation:
Size of the total moment (μB/atom): 0.800
ΔE_f (raw) (eV/f.u.): -1.934
V (Å³ per atom): 36.00

abc: 5.646 5.646 5.646
angles: 90.00 90.00 90.00
Fractional coordinates of all 5 atoms:
I1 0.500 0.000 0.000
I2 0.000 0.000 0.500
I3 0.000 0.500 0.000
Cr1 0.000 0.000 0.000
Li1 0.500 0.500 0.500


No. 4
Here is crystalline Li2CrI at its relaxed geometry from Alexandria. Energies are from PBE.

Values from the calculation:
Size of the total moment (μB/atom): 1.236
ΔE_f (raw) (eV/f.u.): 0.939
V (Å³ per atom): 23.88

abc: 7.898 7.898 6.370
angles: 51.68 51.68 90.00
Fractional coordinates of all 8 atoms:
Cr1 0.500 0.500 0.000
Cr2 0.250 0.750 0.500
I1 0.000 0.000 0.000
I2 0.750 0.250 0.500
Li1 0.647 0.125 0.250
Li2 0.103 0.625 0.250
Li3 0.875 0.897 0.750
Li4 0.375 0.353 0.750


No. 5
Here is crystalline Li6CrI8 at its relaxed geometry from Alexandria. Energies are from PBE.

Values from the calculation:
Size of the total moment (μB/atom): 0.267
ΔE_f (raw) (eV/f.u.): -14.914
V (Å³ per atom): 28.69

abc: 8.475 8.475 8.475
angles: 60.00 60.00 60.00
Fractional coordinates of all 15 atoms:
I1 0.250 0.250 0.250
I2 0.241 0.241 0.759
I3 0.241 0.759 0.759
I4 0.241 0.759 0.241
I5 0.759 0.759 0.241
I6 0.759 0.241 0.759
I7 0.750 0.750 0.750
I8 0.759 0.241 0.241
Li1 0.000 0.500 0.500
Li2 0.000 0.000 0.500
Li3 0.500 0.000 0.000
Li4 0.500 0.000 0.500
Li5 0.000 0.500 0.000
Li6 0.500 0.500 0.000
Cr1 0.000 0.000 0.000